Record 1
VASP calculation (PBE) on a geometry-optimized Mg2CdFe structure.

The structure belongs to space group F-43m (No. 216); the cell edges are 6.6196, 6.6196 and 6.6196 Å and the angles 90.00°, 90.00° and 90.00°. The asymmetric unit holds Mg at (0.0000, 0.0000, 0.0000), Mg at (0.2500, 0.2500, 0.2500), Cd at (0.2500, 0.2500, 0.7500) and Fe at (0.0000, 0.0000, 0.5000).

The formation energy is 0.23 eV per atom. The value obtained for the spin magnetization is 9.61 μB per cell.


Record 2
VASP calculation (PBE) on a geometry-optimized Mg2CdFe structure.

The structure belongs to space group R-3m (No. 166, hexagonal axes); the cell edges are 2.9778, 2.9778 and 29.2892 Å and the angles 90.00°, 90.00° and 120.00°. The asymmetric unit holds Mg at (0.0000, 0.0000, 0.2397), Cd at (0.0000, 0.0000, 0.0000) and Fe at (0.0000, 0.0000, 0.5000).

The formation energy is 0.19 eV per atom. The value obtained for the spin magnetization is 7.38 μB per cell.